(1)
VASP calculation (PBE) on crystalline ScGaPdAu at its relaxed geometry.

- SG: F-43m, No. 216

Cell lengths 4.603, 4.603, 4.603 Å; angles 60.00, 60.00, 60.00 degrees
Sites, in units of the cell vectors:
Sc 0.000 0.000 0.000
Ga 0.500 0.500 0.500
Pd 0.250 0.250 0.250
Au 0.750 0.750 0.750


(2)
VASP calculation (PBE) on crystalline ScGaPdAu at its relaxed geometry.

- SG: F-43m, No. 216

Cell lengths 4.614, 4.614, 4.614 Å; angles 60.00, 60.00, 60.00 degrees
Sites, in units of the cell vectors:
Sc 0.000 0.000 0.000
Ga 0.750 0.750 0.750
Pd 0.250 0.250 0.250
Au 0.500 0.500 0.500


(3)
VASP calculation (PBE) on crystalline ScGaPdAu at its relaxed geometry.

- SG: F-43m, No. 216

Cell lengths 4.618, 4.618, 4.618 Å; angles 60.00, 60.00, 60.00 degrees
Sites, in units of the cell vectors:
Sc 0.000 0.000 0.000
Ga 0.250 0.250 0.250
Pd 0.500 0.500 0.500
Au 0.750 0.750 0.750


(4)
VASP calculation (PBE) on crystalline Y2Ga4PdAu at its relaxed geometry.

- SG: Amm2, No. 38

Cell lengths 6.641, 5.615, 5.615 Å; angles 46.96, 90.00, 90.00 degrees
Sites, in units of the cell vectors:
Y 0.000 0.000 0.000
Y 0.500 0.176 0.176
Ga 0.204 0.715 0.715
Ga 0.305 0.466 0.466
Ga 0.695 0.466 0.466
Ga 0.796 0.715 0.715
Pd 0.500 0.889 0.889
Au 0.000 0.291 0.291


(5)
VASP calculation (PBE) on crystalline PmGa2Au2 at its relaxed geometry.

- SG: P4/nmm, No. 129

Cell lengths 4.418, 4.418, 10.549 Å; angles 90.00, 90.00, 90.00 degrees
Sites, in units of the cell vectors:
Pm 0.250 0.250 0.248
Pm 0.750 0.750 0.752
Ga 0.250 0.250 0.867
Ga 0.250 0.750 0.500
Ga 0.750 0.250 0.500
Ga 0.750 0.750 0.133
Au 0.250 0.250 0.631
Au 0.250 0.750 0.000
Au 0.750 0.250 0.000
Au 0.750 0.750 0.369


(6)
VASP calculation (PBE) on crystalline Pm2Ga5Au3 at its relaxed geometry.

- SG: Ibam, No. 72

Cell lengths 8.705, 8.705, 8.705 Å; angles 103.59, 90.93, 138.49 degrees
Sites, in units of the cell vectors:
Pm 0.126 0.240 0.366
Pm 0.374 0.740 0.113
Pm 0.626 0.260 0.887
Pm 0.874 0.760 0.634
Ga 0.016 0.750 0.266
Ga 0.117 0.646 0.763
Ga 0.250 0.250 0.000
Ga 0.383 0.146 0.529
Ga 0.484 0.750 0.734
Ga 0.516 0.250 0.266
Ga 0.617 0.854 0.471
Ga 0.750 0.750 0.000
Ga 0.883 0.354 0.237
Ga 0.984 0.250 0.734
Au 0.133 0.877 0.010
Au 0.250 0.750 0.500
Au 0.367 0.377 0.744
Au 0.633 0.623 0.256
Au 0.750 0.250 0.500
Au 0.867 0.123 0.990


(7)
VASP calculation (PBE) on crystalline PmGa2Au at its relaxed geometry.

- SG: Cmcm, No. 63

Cell lengths 5.743, 5.743, 6.711 Å; angles 90.00, 90.00, 132.66 degrees
Sites, in units of the cell vectors:
Pm 0.095 0.905 0.750
Pm 0.905 0.095 0.250
Ga 0.381 0.619 0.552
Ga 0.381 0.619 0.948
Ga 0.619 0.381 0.052
Ga 0.619 0.381 0.448
Au 0.200 0.800 0.250
Au 0.800 0.200 0.750


(8)
VASP calculation (PBE) on crystalline Pm3Ga2Au4 at its relaxed geometry.

- SG: C2/m, No. 12

Cell lengths 5.913, 5.913, 8.834 Å; angles 112.09, 112.09, 46.07 degrees
Sites, in units of the cell vectors:
Pm 0.000 0.000 0.000
Pm 0.350 0.350 0.317
Pm 0.650 0.650 0.683
Ga 0.359 0.359 0.687
Ga 0.641 0.641 0.313
Au 0.081 0.081 0.404
Au 0.285 0.285 0.934
Au 0.715 0.715 0.066
Au 0.919 0.919 0.596


(9)
VASP calculation (PBE) on crystalline Pr2Ga5Au3 at its relaxed geometry.

- SG: Ibam, No. 72

Cell lengths 8.747, 8.747, 8.747 Å; angles 104.55, 90.15, 138.27 degrees
Sites, in units of the cell vectors:
Pr 0.127 0.239 0.366
Pr 0.373 0.739 0.112
Pr 0.627 0.261 0.888
Pr 0.873 0.761 0.634
Ga 0.017 0.750 0.267
Ga 0.116 0.647 0.763
Ga 0.250 0.250 0.000
Ga 0.384 0.147 0.530
Ga 0.483 0.750 0.733
Ga 0.517 0.250 0.267
Ga 0.616 0.853 0.470
Ga 0.750 0.750 0.000
Ga 0.884 0.353 0.237
Ga 0.983 0.250 0.733
Au 0.134 0.880 0.014
Au 0.250 0.750 0.500
Au 0.366 0.380 0.747
Au 0.634 0.620 0.253
Au 0.750 0.250 0.500
Au 0.866 0.120 0.986


(10)
VASP calculation (PBE) on crystalline PrGa3Au at its relaxed geometry.

- SG: P2_1/m, No. 11

Cell lengths 6.155, 6.155, 6.239 Å; angles 90.00, 119.55, 90.00 degrees
Sites, in units of the cell vectors:
Pr 0.247 0.250 0.494
Pr 0.753 0.750 0.506
Ga 0.262 0.000 0.000
Ga 0.262 0.500 0.000
Ga 0.358 0.750 0.716
Ga 0.642 0.250 0.284
Ga 0.738 0.000 0.000
Ga 0.738 0.500 0.000
Au 0.127 0.750 0.253
Au 0.873 0.250 0.747


(11)
VASP calculation (PBE) on crystalline PrGa3Au4 at its relaxed geometry.

- SG: Pm, No. 6

Cell lengths 5.395, 4.445, 6.926 Å; angles 90.00, 91.85, 90.00 degrees
Sites, in units of the cell vectors:
Pr 0.000 0.000 0.000
Ga 0.188 0.000 0.472
Ga 0.485 0.500 0.118
Ga 0.699 0.500 0.648
Au 0.004 0.500 0.294
Au 0.179 0.500 0.707
Au 0.504 0.000 0.801
Au 0.653 0.000 0.371


(12)
VASP calculation (PBE) on crystalline Pr2GaAu at its relaxed geometry.

- SG: Amm2, No. 38

Cell lengths 4.652, 6.120, 6.120 Å; angles 38.31, 90.00, 90.00 degrees
Sites, in units of the cell vectors:
Pr 0.000 0.000 0.000
Pr 0.500 0.285 0.285
Ga 0.500 0.564 0.564
Au 0.000 0.718 0.718


(13)
VASP calculation (PBE) on crystalline Pr2GaAu3 at its relaxed geometry.

- SG: Pmm2, No. 25

Cell lengths 3.707, 4.656, 8.215 Å; angles 90.00, 90.00, 90.00 degrees
Sites, in units of the cell vectors:
Pr 0.000 0.000 0.000
Pr 0.000 0.500 0.485
Ga 0.500 0.500 0.819
Au 0.500 0.000 0.333
Au 0.500 0.000 0.675
Au 0.500 0.500 0.141


(14)
VASP calculation (PBE) on crystalline PrScGa2Au2 at its relaxed geometry.

- SG: P-6m2, No. 187

Cell lengths 4.507, 4.507, 7.151 Å; angles 90.00, 90.00, 120.00 degrees
Sites, in units of the cell vectors:
Pr 0.000 0.000 0.000
Sc 0.000 0.000 0.500
Ga 0.333 0.667 0.304
Ga 0.333 0.667 0.696
Au 0.667 0.333 0.278
Au 0.667 0.333 0.722


(15)
VASP calculation (PBE) on crystalline PrSmGa2Au2 at its relaxed geometry.

- SG: P-6m2, No. 187

Cell lengths 4.605, 4.605, 7.410 Å; angles 90.00, 90.00, 120.00 degrees
Sites, in units of the cell vectors:
Pr 0.000 0.000 0.000
Sm 0.000 0.000 0.500
Ga 0.667 0.333 0.286
Ga 0.667 0.333 0.714
Au 0.333 0.667 0.251
Au 0.333 0.667 0.749


(16)
VASP calculation (PBE) on crystalline Ga2PtAu at its relaxed geometry.

- SG: F-43m, No. 216

Cell lengths 4.582, 4.582, 4.582 Å; angles 60.00, 60.00, 60.00 degrees
Sites, in units of the cell vectors:
Ga 0.000 0.000 0.000
Ga 0.250 0.250 0.250
Pt 0.500 0.500 0.500
Au 0.750 0.750 0.750


(17)
VASP calculation (PBE) on crystalline GaPtAu2 at its relaxed geometry.

- SG: F-43m, No. 216

Cell lengths 4.568, 4.568, 4.568 Å; angles 60.00, 60.00, 60.00 degrees
Sites, in units of the cell vectors:
Ga 0.000 0.000 0.000
Pt 0.250 0.250 0.250
Au 0.500 0.500 0.500
Au 0.750 0.750 0.750


(18)
VASP calculation (PBE) on crystalline GaPt2Au at its relaxed geometry.

- SG: F-43m, No. 216

Cell lengths 4.510, 4.510, 4.510 Å; angles 60.00, 60.00, 60.00 degrees
Sites, in units of the cell vectors:
Ga 0.000 0.000 0.000
Pt 0.500 0.500 0.500
Pt 0.750 0.750 0.750
Au 0.250 0.250 0.250


(19)
VASP calculation (PBE) on crystalline Ga2Pt2Au at its relaxed geometry.

- SG: I4/mmm, No. 139

Cell lengths 6.312, 6.312, 6.312 Å; angles 143.52, 143.52, 52.55 degrees
Sites, in units of the cell vectors:
Ga 0.108 0.108 0.000
Ga 0.892 0.892 0.000
Pt 0.250 0.750 0.500
Pt 0.750 0.250 0.500
Au 0.500 0.500 0.000


(20)
VASP calculation (PBE) on crystalline Tm2ScGa3PtAu2 at its relaxed geometry.

- SG: Amm2, No. 38

Cell lengths 3.701, 7.376, 7.376 Å; angles 119.75, 90.00, 90.00 degrees
Sites, in units of the cell vectors:
Tm 0.000 0.199 0.801
Tm 0.000 0.801 0.199
Sc 0.000 0.592 0.592
Ga 0.500 0.204 0.458
Ga 0.500 0.458 0.204
Ga 0.500 0.940 0.940
Pt 0.000 0.203 0.203
Au 0.500 0.535 0.860
Au 0.500 0.860 0.535


no.,total DFT energy (no corrections) (eV/atom)
1,-5.1803
2,-5.0470
3,-5.0923
4,-4.9349
5,-4.1149
6,-4.0824
7,-4.1930
8,-4.4998
9,-4.1046
10,-4.0389
11,-3.7407
12,-4.6103
13,-4.5089
14,-4.7287
15,-4.4705
16,-3.9739
17,-4.0245
18,-4.7676
19,-4.5465
20,-4.9886